No. 1
Entry from Alexandria: crystalline PuGaAu6 at its relaxed geometry (PBE).

Cell: 4.8066 5.1830 7.2831 Å, 85.27 89.95 62.40°
Atoms (fractional coordinates):
Pu: 0.0000 0.0000 0.0000
Ga: 0.5000 0.0000 0.5000
Au: 0.1426 0.7143 0.4473
Au: 0.3319 0.3363 0.7892
Au: 0.3448 0.3101 0.1748
Au: 0.6552 0.6899 0.8252
Au: 0.6681 0.6637 0.2108
Au: 0.8574 0.2857 0.5527

Calculated values
The value obtained for the formation energy is -250.3 meV per atom. Its symmetry is P-1, No. 2. The value obtained for the total energy is -0.1793 hartree per atom. The calculation puts the volume at 160.1 Å³/f.u. For the total magnetization, the calculation gives 5.34 μB/f.u. Its crystal system is triclinic.

No. 2
Entry from Alexandria: crystalline Pu2Ga3Au5 at its relaxed geometry (PBE).

Cell: 4.2034 4.2034 11.8739 Å, 90.00 90.00 90.00°
Atoms (fractional coordinates):
Pu: 0.0000 0.5000 0.2482
Pu: 0.5000 0.0000 0.7518
Ga: 0.0000 0.0000 0.0000
Ga: 0.0000 0.5000 0.8697
Ga: 0.5000 0.0000 0.1303
Au: 0.0000 0.0000 0.5000
Au: 0.0000 0.5000 0.6596
Au: 0.5000 0.0000 0.3404
Au: 0.5000 0.5000 0.0000
Au: 0.5000 0.5000 0.5000

Calculated values
The value obtained for the formation energy is -320.6 meV per atom. Its symmetry is P-4m2, No. 115. The value obtained for the total energy is -0.2107 hartree per atom. The calculation puts the volume at 209.8 Å³/f.u. For the total magnetization, the calculation gives 11.63 μB/f.u. Its crystal system is tetragonal. The calculation puts the relative energy among the computed polymorphs at 68 meV per atom.

No. 3
Entry from Alexandria: crystalline Pu3Ga3Au2 at its relaxed geometry (PBE).

Cell: 8.9012 8.9012 4.6835 Å, 105.09 105.09 28.65°
Atoms (fractional coordinates):
Pu: 0.0000 0.0000 0.0000
Pu: 0.1262 0.1262 0.6283
Pu: 0.8738 0.8738 0.3717
Ga: 0.3579 0.3579 0.8572
Ga: 0.5000 0.5000 0.5000
Ga: 0.6421 0.6421 0.1428
Au: 0.2419 0.2419 0.2429
Au: 0.7581 0.7581 0.7571

Calculated values
The value obtained for the formation energy is -310.1 meV per atom. Its symmetry is C2/m, No. 12. The value obtained for the total energy is -0.2807 hartree per atom. The calculation puts the volume at 171.4 Å³/f.u. For the total magnetization, the calculation gives 16.67 μB/f.u. Its crystal system is monoclinic. The calculation puts the relative energy among the computed polymorphs at 87 meV per atom.